Record 1
This record from the Alexandria database describes a relaxed LiY2Ag crystal. The functional is PBE.

* polymorph energy (0 for the lowest one): 68 meV/atom
* symmetry: No. 8
* formation enthalpy at 0 K: -5.5 kJ per mole of atoms

a = 5.8860 Å, b = 5.8860 Å, c = 5.3027 Å
α = 71.73°, β = 71.73°, γ = 34.63°
Last column: nearest neighbours and their distance in Å.
Positions (direct):
Ag  0.5213  0.5213  0.5166  2 Li 2.81
Y  0.7726  0.7726  0.6931  4 Li 3.17-3.30, 3 Ag 3.17-3.25, 4 Y 3.50-3.51
Y  0.9887  0.9887  0.0437  3 Li 3.09-3.37, 4 Ag 3.18-3.22
Li  0.2174  0.2174  0.2466  2 Ag 2.81, 1 Y 3.09

=====

Record 2
This record from the Alexandria database describes a relaxed Ca5Bi2O2 crystal. The functional is PBE.

* symmetry: No. 12
* E_form (uncorrected): -1.696 eV per atom

a = 4.9441 Å, b = 6.9446 Å, c = 7.4914 Å
α = 103.90°, β = 90.00°, γ = 110.85°
Last column: nearest neighbours and their distance in Å.
Positions (direct):
Bi  0.4100  0.8201  0.6902  7 Ca 3.22-3.39
Bi  0.5900  0.1799  0.3098  7 Ca 3.22-3.39
Ca  0.8522  0.7044  0.4068  1 O 2.26
Ca  0.0000  0.0000  0.0000  2 O 2.40
Ca  0.6695  0.3390  0.9256  3 O 2.25-2.48
Ca  0.3305  0.6610  0.0744  3 O 2.25-2.48
Ca  0.1478  0.2956  0.5932  1 O 2.26
O  0.8387  0.6775  0.1006  5 Ca 2.25-2.48
O  0.1613  0.3225  0.8994  5 Ca 2.25-2.48

=====

Record 3
This record from the Alexandria database describes a relaxed NdDyYIn crystal. The functional is PBE.

* polymorph energy (0 for the lowest one): 0 meV/atom
* symmetry: No. 47
* formation enthalpy at 0 K: -25.9 kJ per mole of atoms

a = 4.8890 Å, b = 4.8600 Å, c = 4.9559 Å
α = 90.00°, β = 90.00°, γ = 90.00°
Last column: nearest neighbours and their distance in Å.
Positions (direct):
Nd  0.0000  0.5000  0.5000  4 Dy 3.45, 4 Y 3.47, 4 In 3.48
Y  0.0000  0.0000  0.0000  4 In 3.45, 4 Nd 3.47, 4 Dy 3.48
In  0.5000  0.5000  0.0000  4 Y 3.45, 4 Dy 3.47, 4 Nd 3.48
Dy  0.5000  0.0000  0.5000  4 Nd 3.45, 4 In 3.47, 4 Y 3.48

=====

Record 4
This record from the Alexandria database describes a relaxed Zr3Al5S12 crystal. The functional is PBE.

* symmetry: No. 230
* E_form (uncorrected): -1.130 eV per atom

a = 12.6414 Å, b = 12.6414 Å, c = 12.6414 Å
α = 109.47°, β = 109.47°, γ = 109.47°
Last column: nearest neighbours and their distance in Å.
Positions (direct):
Al  0.1250  0.7500  0.3750  4 S 2.24
Al  0.8750  0.6250  0.7500  4 S 2.24
Al  0.5000  0.0000  0.0000  6 S 2.42
Al  0.2500  0.3750  0.6250  4 S 2.24
Al  0.5000  0.5000  0.5000  6 S 2.42
Al  0.5000  0.0000  0.5000  6 S 2.42
Al  0.0000  0.0000  0.0000  6 S 2.42
Al  0.6250  0.7500  0.8750  4 S 2.24
Al  0.7500  0.1250  0.8750  4 S 2.24
Al  0.0000  0.0000  0.5000  6 S 2.42
Al  0.0000  0.5000  0.5000  6 S 2.42
Al  0.3750  0.1250  0.7500  4 S 2.24
Al  0.2500  0.8750  0.1250  4 S 2.24
Al  0.1250  0.3750  0.2500  4 S 2.24
Al  0.7500  0.6250  0.3750  4 S 2.24
Al  0.5000  0.5000  0.0000  6 S 2.42
Al  0.0000  0.5000  0.0000  6 S 2.42
Al  0.8750  0.2500  0.6250  4 S 2.24
Al  0.6250  0.8750  0.2500  4 S 2.24
Al  0.3750  0.2500  0.1250  4 S 2.24
S  0.0886  0.9119  0.1259  2 Al 2.24-2.42
S  0.3232  0.5373  0.4114  2 Al 2.24-2.42
S  0.8741  0.2860  0.4627  2 Al 2.24-2.42
S  0.9627  0.5886  0.1768  2 Al 2.24-2.42
S  0.3232  0.7860  0.4119  2 Al 2.24-2.42
S  0.9114  0.8232  0.5373  2 Al 2.24-2.42
S  0.4119  0.1259  0.5886  2 Al 2.24-2.42
S  0.4627  0.6768  0.0886  2 Al 2.24-2.42
S  0.2140  0.6768  0.0881  2 Al 2.24-2.42
S  0.1259  0.7140  0.5373  2 Al 2.24-2.42
S  0.7860  0.4627  0.3741  2 Al 2.24-2.42
S  0.2140  0.5373  0.6259  2 Al 2.24-2.42
S  0.1259  0.4119  0.0886  2 Al 2.24-2.42
S  0.7140  0.1259  0.0373  2 Al 2.24-2.42
S  0.7860  0.3232  0.9119  2 Al 2.24-2.42
S  0.4627  0.7860  0.8741  2 Al 2.24-2.42
S  0.4114  0.3741  0.5881  2 Al 2.24-2.42
S  0.0373  0.4114  0.8232  2 Al 2.24-2.42
S  0.5886  0.9627  0.6768  2 Al 2.24-2.42
S  0.4119  0.2860  0.3232  2 Al 2.24-2.42
S  0.5373  0.3232  0.9114  2 Al 2.24-2.42
S  0.6259  0.5886  0.9119  2 Al 2.24-2.42
S  0.8232  0.9114  0.0373  2 Al 2.24-2.42
S  0.6768  0.4627  0.5886  2 Al 2.24-2.42
S  0.7140  0.5881  0.1768  2 Al 2.24-2.42
S  0.0881  0.9114  0.3741  2 Al 2.24-2.42
S  0.0886  0.1768  0.4627  2 Al 2.24-2.42
S  0.8232  0.9119  0.2860  2 Al 2.24-2.42
S  0.3741  0.4114  0.0881  2 Al 2.24-2.42
S  0.5373  0.2140  0.1259  2 Al 2.24-2.42
S  0.0881  0.1768  0.2140  2 Al 2.24-2.42
S  0.5881  0.8741  0.4114  2 Al 2.24-2.42
S  0.2860  0.8741  0.9627  2 Al 2.24-2.42
S  0.5881  0.7140  0.6768  2 Al 2.24-2.42
S  0.9627  0.3741  0.2860  2 Al 2.24-2.42
S  0.8741  0.5881  0.9114  2 Al 2.24-2.42
S  0.1768  0.0881  0.7140  2 Al 2.24-2.42
S  0.4114  0.0373  0.3232  2 Al 2.24-2.42
S  0.5886  0.6259  0.4119  2 Al 2.24-2.42
S  0.2860  0.4119  0.8232  2 Al 2.24-2.42
S  0.9119  0.8232  0.7860  2 Al 2.24-2.42
S  0.3741  0.9627  0.7860  2 Al 2.24-2.42
S  0.9114  0.0881  0.8741  2 Al 2.24-2.42
S  0.1768  0.0886  0.9627  2 Al 2.24-2.42
S  0.6259  0.0373  0.2140  2 Al 2.24-2.42
S  0.0373  0.6259  0.7140  2 Al 2.24-2.42
S  0.6768  0.2140  0.5881  2 Al 2.24-2.42
S  0.9119  0.0886  0.6259  2 Al 2.24-2.42
Zr  0.7500  0.8750  0.6250  8 S 2.78-2.79
Zr  0.8750  0.7500  0.1250  8 S 2.78-2.79
Zr  0.7500  0.3750  0.1250  8 S 2.78-2.79
Zr  0.6250  0.3750  0.7500  8 S 2.78-2.79
Zr  0.1250  0.2500  0.8750  8 S 2.78-2.79
Zr  0.8750  0.1250  0.2500  8 S 2.78-2.79
Zr  0.2500  0.6250  0.8750  8 S 2.78-2.79
Zr  0.1250  0.8750  0.7500  8 S 2.78-2.79
Zr  0.3750  0.7500  0.6250  8 S 2.78-2.79
Zr  0.2500  0.1250  0.3750  8 S 2.78-2.79
Zr  0.3750  0.6250  0.2500  8 S 2.78-2.79
Zr  0.6250  0.2500  0.3750  8 S 2.78-2.79

=====

Record 5
This record from the Alexandria database describes a relaxed Pm3Tm3Si4 crystal. The functional is PBE.

* symmetry: No. 38
* E_form (uncorrected): -0.706 eV per atom

a = 4.3073 Å, b = 7.4881 Å, c = 7.4881 Å
α = 89.40°, β = 90.00°, γ = 90.00°
Last column: nearest neighbours and their distance in Å.
Positions (direct):
Si  0.0000  0.1196  0.1100  1 Si 2.44
Si  0.0000  0.3781  0.6219  1 Si 2.48
Si  0.0000  0.8900  0.8804  1 Si 2.44
Si  0.0000  0.6135  0.3865  1 Si 2.48
Pm  0.5000  0.3209  0.3241  6 Si 3.09-3.13
Pm  0.5000  0.8251  0.1749  6 Si 3.10-3.12
Pm  0.5000  0.6759  0.6791  6 Si 3.09-3.13
Tm  0.0000  0.5008  0.0007  4 Si 2.96-3.04
Tm  0.5000  0.1768  0.8232  6 Si 3.02-3.07
Tm  0.0000  0.9993  0.4992  4 Si 2.96-3.04

=====

Record 6
This record from the Alexandria database describes a relaxed PuThInSn crystal. The functional is PBE.

* symmetry: No. 216
* formation enthalpy at 0 K: -22.9 kJ per mole of atoms

a = 5.4171 Å, b = 5.4171 Å, c = 5.4171 Å
α = 60.00°, β = 60.00°, γ = 60.00°
Last column: nearest neighbours and their distance in Å.
Positions (direct):
Th  0.5000  0.5000  0.5000  4 In 3.32, 4 Sn 3.32
In  0.2500  0.2500  0.2500  4 Th 3.32, 4 Pu 3.32
Pu  0.0000  0.0000  0.0000  4 In 3.32, 4 Sn 3.32
Sn  0.7500  0.7500  0.7500  4 Th 3.32, 4 Pu 3.32

=====

Record 7
This record from the Alexandria database describes a relaxed InPd3Au4 crystal. The functional is PBE.

* polymorph energy (0 for the lowest one): 0 meV/atom
* symmetry: No. 12
* formation enthalpy at 0 K: -17.4 kJ per mole of atoms

a = 4.7634 Å, b = 4.8410 Å, c = 6.9213 Å
α = 110.55°, β = 110.13°, γ = 90.00°
Last column: nearest neighbours and their distance in Å.
Positions (direct):
Au  0.6255  0.6253  0.2511  5 Au 2.79-3.03, 3 Pd 2.82-3.04, 2 In 2.85-2.86
Au  0.3745  0.3747  0.7489  5 Au 2.79-3.03, 3 Pd 2.82-3.04, 2 In 2.85-2.86
Au  0.7536  0.2532  0.5073  4 Au 2.79-2.87, 5 Pd 2.84-2.97, 1 In 3.06
Au  0.2464  0.7468  0.4927  4 Au 2.79-2.87, 5 Pd 2.84-2.97, 1 In 3.06
In  0.5000  0.0000  0.0000  4 Pd 2.80, 6 Au 2.85-3.06
Pd  0.0000  0.5000  0.0000  6 Au 2.82-2.97, 4 Pd 2.83-2.84
Pd  0.1223  0.1224  0.2445  2 In 2.80, 3 Pd 2.83-2.95, 5 Au 2.84-3.04
Pd  0.8777  0.8776  0.7555  2 In 2.80, 3 Pd 2.83-2.95, 5 Au 2.84-3.04

=====

Record 8
This record from the Alexandria database describes a relaxed MnIrPb2 crystal. The functional is PBE.

* polymorph energy (0 for the lowest one): 346 meV/atom
* symmetry: No. 12
* formation enthalpy at 0 K: 50.0 kJ per mole of atoms

a = 4.7776 Å, b = 4.7776 Å, c = 5.7043 Å
α = 79.23°, β = 79.23°, γ = 41.44°
Last column: nearest neighbours and their distance in Å.
Positions (direct):
Pb  0.4926  0.4926  0.5092  3 Mn 2.86-3.00, 3 Ir 2.87-2.91
Pb  0.0074  0.0074  0.9908  3 Mn 2.86-3.00, 3 Ir 2.87-2.91
Mn  0.2500  0.2500  0.2500  6 Pb 2.86-3.00
Ir  0.7500  0.7500  0.7500  6 Pb 2.87-2.91

=====

Record 9
This record from the Alexandria database describes a relaxed PmGdOs crystal. The functional is PBE.

* polymorph energy (0 for the lowest one): 195 meV/atom
* symmetry: No. 156
* formation enthalpy at 0 K: 7.0 kJ per mole of atoms

a = 3.6069 Å, b = 4.7692 Å, c = 4.7692 Å
α = 120.00°, β = 90.00°, γ = 90.00°
Last column: nearest neighbours and their distance in Å.
Positions (direct):
Pm  0.7064  0.6667  0.3333  3 Os 2.97, 3 Gd 3.16
Gd  0.2757  0.3333  0.6667  3 Os 2.91, 3 Pm 3.16
Os  0.0179  0.0000  0.0000  3 Gd 2.91, 3 Pm 2.97

=====

Record 10
This record from the Alexandria database describes a relaxed Tm3NiHg crystal. The functional is PBE.

* polymorph energy (0 for the lowest one): 0 meV/atom
* symmetry: No. 11
* formation enthalpy at 0 K: -36.2 kJ per mole of atoms

a = 3.8973 Å, b = 7.9036 Å, c = 8.4031 Å
α = 107.66°, β = 90.00°, γ = 90.00°
Last column: nearest neighbours and their distance in Å.
Positions (direct):
Ni  0.7500  0.0677  0.5896  2 Ni 2.50, 4 Tm 2.78-2.79
Ni  0.2500  0.9323  0.4104  2 Ni 2.50, 4 Tm 2.78-2.79
Tm  0.7500  0.6812  0.4171  3 Ni 2.79-2.96
Tm  0.7500  0.0618  0.2429  3 Ni 2.78-2.90
Tm  0.7500  0.3084  0.9229  1 Ni 2.87, 3 Hg 3.10-3.18
Tm  0.2500  0.9382  0.7571  3 Ni 2.78-2.90
Tm  0.2500  0.3188  0.5829  3 Ni 2.79-2.96
Tm  0.2500  0.6916  0.0771  1 Ni 2.87, 3 Hg 3.10-3.18
Hg  0.2500  0.3636  0.2215  8 Tm 3.10-3.21
Hg  0.7500  0.6364  0.7785  8 Tm 3.10-3.21

=====

Record 11
This record from the Alexandria database describes a relaxed Ti2FeBPd crystal. The functional is PBE.

* symmetry: No. 123
* formation enthalpy at 0 K: 100.5 kJ per mole of atoms

a = 4.2810 Å, b = 4.5977 Å, c = 4.2810 Å
α = 90.00°, β = 90.00°, γ = 90.00°
Last column: nearest neighbours and their distance in Å.
Positions (direct):
Ti  0.5000  0.0000  0.0000  2 Fe 2.14
Ti  0.0000  0.0000  0.5000  2 Fe 2.14
Pd  0.0000  0.5000  0.0000  2 Fe 2.30
Fe  0.0000  0.0000  0.0000  4 Ti 2.14, 2 Pd 2.30
B  0.5000  0.5000  0.5000  4 Pd 3.03, 8 Ti 3.14

=====

Record 12
This record from the Alexandria database describes a relaxed Tb3Tm2Mg crystal. The functional is PBE.

* polymorph energy (0 for the lowest one): 35 meV/atom
* symmetry: No. 15
* formation enthalpy at 0 K: 2.4 kJ per mole of atoms

a = 6.9409 Å, b = 6.0770 Å, c = 9.2320 Å
α = 90.63°, β = 112.08°, γ = 90.00°
Last column: nearest neighbours and their distance in Å.
Positions (direct):
Tb  0.7067  0.4195  0.6647  6 Tm 3.45-3.52, 4 Tb 3.46-3.50, 2 Mg 3.48-3.53
Tb  0.6321  0.2500  0.0000  4 Mg 3.45-3.49, 4 Tm 3.48-3.51, 4 Tb 3.49-3.55
Tb  0.0420  0.0805  0.3353  6 Tm 3.45-3.52, 4 Tb 3.46-3.50, 2 Mg 3.48-3.53
Tb  0.2933  0.5805  0.3353  6 Tm 3.45-3.52, 4 Tb 3.46-3.50, 2 Mg 3.48-3.53
Tb  0.9580  0.9195  0.6647  6 Tm 3.45-3.52, 4 Tb 3.46-3.50, 2 Mg 3.48-3.53
Tb  0.3679  0.7500  0.0000  4 Mg 3.45-3.49, 4 Tm 3.48-3.51, 4 Tb 3.49-3.55
Tm  0.5437  0.0839  0.3332  8 Tb 3.45-3.52, 3 Tm 3.48-3.52, 1 Mg 3.49
Tm  0.4563  0.9161  0.6668  8 Tb 3.45-3.52, 3 Tm 3.48-3.52, 1 Mg 3.49
Tm  0.2106  0.4161  0.6668  8 Tb 3.45-3.52, 3 Tm 3.48-3.52, 1 Mg 3.49
Tm  0.7894  0.5839  0.3332  8 Tb 3.45-3.52, 3 Tm 3.48-3.52, 1 Mg 3.49
Mg  0.1290  0.2500  0.0000  8 Tb 3.45-3.53, 2 Tm 3.49, 2 Mg 3.53
Mg  0.8710  0.7500  0.0000  8 Tb 3.45-3.53, 2 Tm 3.49, 2 Mg 3.53

=====

Record 13
This record from the Alexandria database describes a relaxed MgTc2As2 crystal. The functional is PBE.

* polymorph energy (0 for the lowest one): 21 meV/atom
* symmetry: No. 127
* formation enthalpy at 0 K: -3.2 kJ per mole of atoms

a = 7.2071 Å, b = 7.2071 Å, c = 3.0914 Å
α = 90.00°, β = 90.00°, γ = 90.00°
Last column: nearest neighbours and their distance in Å.
Positions (direct):
As  0.3478  0.1522  0.5000  6 Tc 2.59-2.63
As  0.6522  0.8478  0.5000  6 Tc 2.59-2.63
As  0.8478  0.3478  0.5000  6 Tc 2.59-2.63
As  0.1522  0.6522  0.5000  6 Tc 2.59-2.63
Tc  0.8565  0.6435  0.0000  6 As 2.59-2.63, 2 Mg 2.77
Tc  0.3565  0.8565  0.0000  6 As 2.59-2.63, 2 Mg 2.77
Tc  0.1435  0.3565  0.0000  6 As 2.59-2.63, 2 Mg 2.77
Tc  0.6435  0.1435  0.0000  6 As 2.59-2.63, 2 Mg 2.77
Mg  0.0000  0.0000  0.0000  4 Tc 2.77, 2 Mg 3.09
Mg  0.5000  0.5000  0.0000  4 Tc 2.77, 2 Mg 3.09

=====

Record 14
This record from the Alexandria database describes a relaxed LiReSi2 crystal. The functional is PBE.

* polymorph energy (0 for the lowest one): 448 meV/atom
* symmetry: No. 216
* E_form (uncorrected): 0.299 eV per atom

a = 4.1617 Å, b = 4.1617 Å, c = 4.1617 Å
α = 60.00°, β = 60.00°, γ = 60.00°
Last column: nearest neighbours and their distance in Å.
Positions (direct):
Si  0.2500  0.2500  0.2500  4 Li 2.55, 4 Si 2.55
Si  0.0000  0.0000  0.0000  4 Re 2.55, 4 Si 2.55
Re  0.7500  0.7500  0.7500  4 Li 2.55, 4 Si 2.55
Li  0.5000  0.5000  0.5000  4 Re 2.55, 4 Si 2.55

=====

no.,size of the total moment (μB per cell)
1,0.00
2,0.00
3,0.43
4,4.63
5,0.00
6,6.15
7,0.00
8,4.25
9,7.17
10,0.00
11,0.00
12,0.00
13,0.00
14,0.00